<a>
GaB3Rh | Alexandria via LeMat-Bulk | PBE | optimized geometry; symmetry = Pm-3m
1.0
-2.822 -2.752 -0.672
2.634 -2.898 0.807
-1.042 0.127 3.858
Rh B Ga
1 3 1
Direct
0.500 0.500 0.500
0.000 0.500 0.000
0.500 0.000 0.000
0.000 0.000 0.500
0.000 0.000 0.000

***

<b>
GaB3Rh | Alexandria via LeMat-Bulk | PBE | optimized geometry; symmetry = Pm-3m
1.0
-4.068 -0.600 0.277
0.323 -0.293 4.098
-0.577 4.066 0.337
B Rh Ga
3 1 1
Direct
0.500 0.000 0.000
0.000 0.000 0.500
0.000 0.500 0.000
0.000 0.000 0.000
0.500 0.500 0.500

***

Pick the most stable structure from those above. Pick: <b>